[1]
Entry from the Alexandria database: Ac2Pr3Rh3 after structural relaxation (PBE-GGA).

abc: 5.858 7.259 14.065
angles: 92.00 90.00 113.80
Fractional coordinates of all 16 atoms:
Rh1 0.140 0.279 0.935
Rh2 0.780 0.561 0.744
Rh3 0.855 0.709 0.441
Rh4 0.213 0.427 0.251
Rh5 0.160 0.319 0.560
Rh6 0.841 0.682 0.066
Ac1 0.331 0.662 0.070
Ac2 0.959 0.919 0.629
Ac3 0.650 0.299 0.925
Ac4 0.343 0.687 0.433
Pr1 0.741 0.482 0.253
Pr2 0.056 0.113 0.381
Pr3 0.051 0.103 0.118
Pr4 0.930 0.860 0.889
Pr5 0.676 0.351 0.557
Pr6 0.254 0.509 0.752

=====

[2]
Entry from the Alexandria database: Ac2Pr3Rh2 after structural relaxation (PBE-GGA).

abc: 4.017 6.684 9.503
angles: 113.42 90.00 107.49
Fractional coordinates of all 7 atoms:
Ac1 0.832 0.664 0.198
Ac2 0.168 0.336 0.802
Pr1 0.382 0.765 0.578
Pr2 0.500 0.000 0.000
Pr3 0.618 0.235 0.422
Rh1 0.828 0.656 0.758
Rh2 0.172 0.344 0.242

=====

[3]
Entry from the Alexandria database: AcPr2Rh3 after structural relaxation (PBE-GGA).

abc: 4.191 5.905 7.200
angles: 114.21 106.92 90.00
Fractional coordinates of all 6 atoms:
Ac1 0.000 0.500 0.000
Pr1 0.335 0.835 0.669
Pr2 0.665 0.165 0.331
Rh1 0.327 0.327 0.654
Rh2 0.000 0.000 0.000
Rh3 0.673 0.673 0.346

=====

[4]
Entry from the Alexandria database: AcPr2Rh after structural relaxation (PBE-GGA).

excess energy over the best structure of this formula in the dataset: 0.100 eV per atom

abc: 4.100 4.100 9.958
angles: 78.12 78.12 60.00
Fractional coordinates of all 4 atoms:
Rh1 0.666 0.666 0.001
Pr1 0.055 0.055 0.835
Pr2 0.278 0.278 0.166
Ac1 0.501 0.501 0.497

=====

[5]
Entry from the Alexandria database: AcPr2Rh9 after structural relaxation (PBE-GGA).

abc: 5.383 5.383 9.432
angles: 73.42 73.42 60.00
Fractional coordinates of all 12 atoms:
Pr1 0.139 0.139 0.582
Pr2 0.861 0.861 0.418
Rh1 0.582 0.582 0.753
Rh2 0.667 0.667 0.998
Rh3 0.917 0.418 0.247
Rh4 0.582 0.083 0.753
Rh5 0.418 0.418 0.247
Rh6 0.418 0.917 0.247
Rh7 0.083 0.582 0.753
Rh8 0.500 0.500 0.500
Rh9 0.333 0.333 0.002
Ac1 0.000 0.000 0.000

=====

[6]
Entry from the Alexandria database: AcPr4Rh after structural relaxation (PBE-GGA).

abc: 6.168 7.797 9.929
angles: 113.12 108.13 90.00
Fractional coordinates of all 12 atoms:
Pr1 0.612 0.861 0.223
Pr2 0.612 0.362 0.223
Pr3 0.000 0.209 0.000
Pr4 0.388 0.638 0.777
Pr5 0.388 0.139 0.777
Pr6 0.000 0.791 0.000
Pr7 0.167 0.667 0.333
Pr8 0.833 0.333 0.667
Rh1 0.271 0.500 0.000
Rh2 0.729 0.500 0.000
Ac1 0.200 0.200 0.400
Ac2 0.800 0.800 0.600

=====

[7]
Entry from the Alexandria database: Ac3PrRh8 after structural relaxation (PBE-GGA).

abc: 5.519 5.519 9.584
angles: 73.27 73.27 60.00
Fractional coordinates of all 12 atoms:
Rh1 0.938 0.938 0.685
Rh2 0.937 0.436 0.190
Rh3 0.688 0.688 0.937
Rh4 0.938 0.439 0.685
Rh5 0.188 0.188 0.437
Rh6 0.436 0.937 0.190
Rh7 0.436 0.436 0.190
Rh8 0.439 0.938 0.685
Pr1 0.874 0.874 0.377
Ac1 0.998 0.998 0.005
Ac2 0.376 0.376 0.873
Ac3 0.501 0.501 0.496

=====

[8]
Entry from the Alexandria database: AcPrRh after structural relaxation (PBE-GGA).

excess energy over the best structure of this formula in the dataset: 0.000 eV per atom

abc: 7.669 8.221 7.669
angles: 70.11 74.30 109.89
Fractional coordinates of all 12 atoms:
Rh1 0.693 0.435 0.197
Rh2 0.367 0.565 0.742
Rh3 0.053 0.935 0.557
Rh4 0.508 0.065 0.883
Ac1 0.874 0.302 0.903
Ac2 0.822 0.198 0.455
Ac3 0.347 0.802 0.376
Ac4 0.795 0.698 0.428
Pr1 0.163 0.743 0.927
Pr2 0.671 0.757 0.920
Pr3 0.330 0.257 0.579
Pr4 0.323 0.243 0.087

=====

[9]
Entry from the Alexandria database: AcPr2Rh2 after structural relaxation (PBE-GGA).

excess energy over the best structure of this formula in the dataset: 0.000 eV per atom

abc: 4.463 5.947 11.063
angles: 81.45 90.00 90.00
Fractional coordinates of all 10 atoms:
Ac1 0.750 0.450 0.790
Ac2 0.250 0.550 0.210
Rh1 0.750 0.307 0.366
Rh2 0.750 0.664 0.028
Rh3 0.250 0.336 0.972
Rh4 0.250 0.693 0.634
Pr1 0.750 0.770 0.467
Pr2 0.750 0.109 0.116
Pr3 0.250 0.230 0.533
Pr4 0.250 0.891 0.884

=====

[10]
Entry from the Alexandria database: Ac2PrRh2 after structural relaxation (PBE-GGA).

excess energy over the best structure of this formula in the dataset: 0.003 eV per atom

abc: 4.305 5.957 7.250
angles: 114.26 107.27 90.00
Fractional coordinates of all 5 atoms:
Rh1 0.345 0.845 0.690
Rh2 0.655 0.155 0.310
Pr1 0.000 0.000 0.000
Ac1 0.324 0.324 0.649
Ac2 0.676 0.676 0.351

=====

[11]
Entry from the Alexandria database: Ac2PrRh after structural relaxation (PBE-GGA).

excess energy over the best structure of this formula in the dataset: 0.000 eV per atom

abc: 6.804 7.629 10.513
angles: 90.00 90.00 90.00
Fractional coordinates of all 16 atoms:
Pr1 0.837 0.040 0.250
Pr2 0.163 0.960 0.750
Pr3 0.663 0.540 0.250
Pr4 0.337 0.460 0.750
Rh1 0.058 0.374 0.250
Rh2 0.442 0.874 0.250
Rh3 0.558 0.126 0.750
Rh4 0.942 0.626 0.750
Ac1 0.828 0.325 0.930
Ac2 0.328 0.175 0.430
Ac3 0.672 0.825 0.570
Ac4 0.172 0.675 0.430
Ac5 0.172 0.675 0.070
Ac6 0.328 0.175 0.070
Ac7 0.828 0.325 0.570
Ac8 0.672 0.825 0.930

=====

[12]
Entry from the Alexandria database: AcPrRh after structural relaxation (PBE-GGA).

excess energy over the best structure of this formula in the dataset: 0.021 eV per atom

abc: 6.687 4.261 4.261
angles: 120.00 90.00 90.00
Fractional coordinates of all 3 atoms:
Pr1 0.231 0.333 0.667
Ac1 0.763 0.667 0.333
Rh1 0.006 0.000 0.000

=====

Formation energy
In order: -0.462, -0.449, -0.510, -0.309, -0.483, -0.176, -0.586, -0.508, -0.576, -0.584, -0.398, -0.487
Unit: eV/atom